Nd12CdIn4O3: relaxed, PBE.

Calculated values
DFT total energy ... -102.5 eV per formula unit
Space-group type ... Im-3m (229)
Formation energy from raw total energies ... -18.6 eV/f.u.

abc: 8.975 8.975 8.975
angles: 109.47 109.47 109.47
Positions (direct):
Nd1 0.000 0.273 0.273
Nd2 0.000 0.727 0.727
Nd3 0.250 0.500 0.750
Nd4 0.250 0.750 0.500
Nd5 0.273 0.000 0.273
Nd6 0.273 0.273 0.000
Nd7 0.500 0.250 0.750
Nd8 0.500 0.750 0.250
Nd9 0.727 0.000 0.727
Nd10 0.727 0.727 0.000
Nd11 0.750 0.250 0.500
Nd12 0.750 0.500 0.250
Cd1 0.000 0.000 0.000
In1 0.000 0.000 0.500
In2 0.000 0.500 0.000
In3 0.500 0.000 0.000
In4 0.500 0.500 0.500
O1 0.000 0.500 0.500
O2 0.500 0.000 0.500
O3 0.500 0.500 0.000

SrBeNi2: relaxed, PBE.

Calculated values
DFT total energy ... -16.1 eV per formula unit
Space-group type ... P4/mmm (123)
Energy relative to the lowest polymorph listed for this composition ... 0.350 eV/atom
Formation enthalpy at 0 K ... 0.207 eV per atom

abc: 3.001 3.001 6.710
angles: 90.00 90.00 90.00
Positions (direct):
Sr1 0.000 0.000 0.000
Be1 0.000 0.000 0.500
Ni1 0.500 0.500 0.328
Ni2 0.500 0.500 0.672

AsRh5: relaxed, PBE.

Calculated values
DFT total energy ... -38.7 eV per formula unit
Space-group type ... P6/mmm (191)
Formation enthalpy at 0 K ... 0.456 eV per atom

abc: 5.057 5.057 4.452
angles: 90.00 90.00 120.00
Positions (direct):
As1 0.000 0.000 0.000
Rh1 0.000 0.500 0.500
Rh2 0.333 0.667 0.000
Rh3 0.500 0.000 0.500
Rh4 0.500 0.500 0.500
Rh5 0.667 0.333 0.000

NaFeIr: relaxed, PBE.

Calculated values
DFT total energy ... -16.7 eV per formula unit
Space-group type ... P-6m2 (187)
Energy relative to the lowest polymorph listed for this composition ... 0.391 eV/atom
Formation enthalpy at 0 K ... 0.652 eV per atom

abc: 4.310 4.310 5.861
angles: 90.00 90.00 120.00
Positions (direct):
Na1 0.000 0.000 0.000
Na2 0.000 0.000 0.500
Fe1 0.667 0.333 0.176
Fe2 0.667 0.333 0.824
Ir1 0.333 0.667 0.217
Ir2 0.333 0.667 0.783

Copy entry 3 word for word.
AsRh5: relaxed, PBE.

Calculated values
DFT total energy ... -38.7 eV per formula unit
Space-group type ... P6/mmm (191)
Formation enthalpy at 0 K ... 0.456 eV per atom

abc: 5.057 5.057 4.452
angles: 90.00 90.00 120.00
Positions (direct):
As1 0.000 0.000 0.000
Rh1 0.000 0.500 0.500
Rh2 0.333 0.667 0.000
Rh3 0.500 0.000 0.500
Rh4 0.500 0.500 0.500
Rh5 0.667 0.333 0.000